# 1
Density functional theory data (meta-GGA SCAN) for a PBEsol-optimized structure of Li2TiS2O.

Space-group type   No. 14
Density of states at the Fermi level   0.0 states/eV/f.u.
E_tot   -231.4 eV/cell
ρ   2.41 g/cm3
Crystal system   monoclinic
Total magnetization   0.000 μB/atom

Cell: 6.319 12.409 5.477 Å, 90.00 114.20 90.00°
Fractional positions:
Li: 0.099 0.140 0.050
Li: 0.099 0.360 0.550
Li: 0.295 0.554 0.176
Li: 0.295 0.946 0.676
Li: 0.705 0.054 0.324
Li: 0.705 0.446 0.824
Li: 0.901 0.640 0.450
Li: 0.901 0.860 0.950
Ti: 0.480 0.181 0.634
Ti: 0.480 0.319 0.134
Ti: 0.520 0.681 0.866
Ti: 0.520 0.819 0.366
S: 0.112 0.143 0.544
S: 0.112 0.357 0.044
S: 0.290 0.548 0.635
S: 0.290 0.952 0.135
S: 0.710 0.048 0.865
S: 0.710 0.452 0.365
S: 0.888 0.643 0.956
S: 0.888 0.857 0.456
O: 0.473 0.692 0.177
O: 0.473 0.808 0.677
O: 0.527 0.192 0.323
O: 0.527 0.308 0.823


# 2
Density functional theory data (meta-GGA SCAN) for a PBEsol-optimized structure of LiY4Ti4S4O10.

Space-group type   No. 12
Density of states at the Fermi level   4.2 states/eV/f.u.
E_tot   -350.5 eV/cell
ρ   4.31 g/cm3
Crystal system   monoclinic
Total magnetization   0.025 μB/atom

Cell: 11.438 11.438 5.405 Å, 90.23 90.23 152.67°
Fractional positions:
Li: 0.000 0.000 0.000
Y: 0.083 0.415 0.249
Y: 0.415 0.083 0.249
Y: 0.585 0.917 0.751
Y: 0.917 0.585 0.751
Ti: 0.172 0.338 0.745
Ti: 0.338 0.172 0.745
Ti: 0.662 0.828 0.255
Ti: 0.828 0.662 0.255
S: 0.043 0.453 0.751
S: 0.453 0.043 0.751
S: 0.547 0.957 0.249
S: 0.957 0.547 0.249
O: 0.094 0.906 0.000
O: 0.102 0.898 0.500
O: 0.244 0.244 0.756
O: 0.398 0.602 0.000
O: 0.399 0.601 0.500
O: 0.601 0.399 0.500
O: 0.602 0.398 0.000
O: 0.756 0.756 0.244
O: 0.898 0.102 0.500
O: 0.906 0.094 0.000


# 3
Density functional theory data (meta-GGA SCAN) for a PBEsol-optimized structure of LiY2Ti2S2O5.

Space-group type   No. 71
Density of states at the Fermi level   2.6 states/eV/f.u.
E_tot   -176.9 eV/cell
ρ   4.30 g/cm3
Crystal system   orthorhombic
Total magnetization   0.000 μB/atom

Cell: 11.310 11.310 11.310 Å, 160.56 160.08 27.97°
Fractional positions:
Li: 0.000 0.000 0.000
Y: 0.165 0.665 0.500
Y: 0.835 0.335 0.500
Ti: 0.414 0.914 0.500
Ti: 0.586 0.086 0.500
S: 0.295 0.795 0.500
S: 0.705 0.205 0.500
O: 0.092 0.092 0.000
O: 0.396 0.396 0.000
O: 0.500 0.000 0.500
O: 0.604 0.604 0.000
O: 0.908 0.908 0.000


# 4
Density functional theory data (meta-GGA SCAN) for a PBEsol-optimized structure of Li3VS3O12.

Space-group type   No. 148
Density of states at the Fermi level   3.5 states/eV/f.u.
E_tot   -332.0 eV/cell
ρ   2.64 g/cm3
Crystal system   trigonal
Total magnetization   0.105 μB/atom

Cell: 8.150 8.150 8.150 Å, 106.86 106.86 106.86°
Fractional positions:
Li: 0.087 0.523 0.756
Li: 0.244 0.913 0.477
Li: 0.477 0.244 0.913
Li: 0.523 0.756 0.087
Li: 0.756 0.087 0.523
Li: 0.913 0.477 0.244
V: 0.000 0.000 0.000
V: 0.500 0.500 0.500
S: 0.095 0.233 0.445
S: 0.233 0.445 0.095
S: 0.445 0.095 0.233
S: 0.555 0.905 0.767
S: 0.767 0.555 0.905
S: 0.905 0.767 0.555
O: 0.017 0.859 0.763
O: 0.030 0.719 0.468
O: 0.119 0.516 0.178
O: 0.141 0.237 0.983
O: 0.178 0.119 0.516
O: 0.237 0.983 0.141
O: 0.244 0.419 0.490
O: 0.281 0.532 0.970
O: 0.419 0.490 0.244
O: 0.468 0.030 0.719
O: 0.484 0.822 0.881
O: 0.490 0.244 0.419
O: 0.510 0.756 0.581
O: 0.516 0.178 0.119
O: 0.532 0.970 0.281
O: 0.581 0.510 0.756
O: 0.719 0.468 0.030
O: 0.756 0.581 0.510
O: 0.763 0.017 0.859
O: 0.822 0.881 0.484
O: 0.859 0.763 0.017
O: 0.881 0.484 0.822
O: 0.970 0.281 0.532
O: 0.983 0.141 0.237


# 5
Density functional theory data (meta-GGA SCAN) for a PBEsol-optimized structure of Li2V2S3O12.

Space-group type   No. 60
Density of states at the Fermi level   0.0 states/eV/f.u.
E_tot   -724.3 eV/cell
ρ   2.91 g/cm3
Crystal system   orthorhombic
Total magnetization   0.316 μB/atom

Cell: 12.231 8.578 8.800 Å, 90.00 90.00 90.00°
Fractional positions:
Li: 0.181 0.213 0.224
Li: 0.181 0.787 0.724
Li: 0.319 0.287 0.724
Li: 0.319 0.713 0.224
Li: 0.681 0.287 0.776
Li: 0.681 0.713 0.276
Li: 0.819 0.213 0.276
Li: 0.819 0.787 0.776
V: 0.114 0.252 0.539
V: 0.114 0.748 0.039
V: 0.386 0.248 0.039
V: 0.386 0.752 0.539
V: 0.614 0.248 0.461
V: 0.614 0.752 0.961
V: 0.886 0.252 0.961
V: 0.886 0.748 0.461
S: 0.000 0.454 0.250
S: 0.000 0.546 0.750
S: 0.148 0.105 0.896
S: 0.148 0.895 0.396
S: 0.352 0.395 0.396
S: 0.352 0.605 0.896
S: 0.500 0.046 0.750
S: 0.500 0.954 0.250
S: 0.648 0.395 0.104
S: 0.648 0.605 0.604
S: 0.852 0.105 0.604
S: 0.852 0.895 0.104
O: 0.035 0.145 0.931
O: 0.035 0.855 0.431
O: 0.062 0.455 0.639
O: 0.062 0.545 0.139
O: 0.080 0.349 0.329
O: 0.080 0.651 0.829
O: 0.162 0.067 0.390
O: 0.162 0.933 0.890
O: 0.183 0.170 0.747
O: 0.183 0.830 0.247
O: 0.221 0.169 0.017
O: 0.221 0.831 0.517
O: 0.279 0.331 0.517
O: 0.279 0.669 0.017
O: 0.317 0.330 0.247
O: 0.317 0.670 0.747
O: 0.338 0.433 0.890
O: 0.338 0.567 0.390
O: 0.420 0.151 0.829
O: 0.420 0.849 0.329
O: 0.438 0.045 0.139
O: 0.438 0.955 0.639
O: 0.465 0.355 0.431
O: 0.465 0.645 0.931
O: 0.535 0.355 0.069
O: 0.535 0.645 0.569
O: 0.562 0.045 0.361
O: 0.562 0.955 0.861
O: 0.580 0.151 0.671
O: 0.580 0.849 0.171
O: 0.662 0.433 0.610
O: 0.662 0.567 0.110
O: 0.683 0.330 0.253
O: 0.683 0.670 0.753
O: 0.721 0.331 0.983
O: 0.721 0.669 0.483
O: 0.779 0.169 0.483
O: 0.779 0.831 0.983
O: 0.817 0.170 0.753
O: 0.817 0.830 0.253
O: 0.838 0.067 0.110
O: 0.838 0.933 0.610
O: 0.920 0.349 0.171
O: 0.920 0.651 0.671
O: 0.938 0.455 0.861
O: 0.938 0.545 0.361
O: 0.965 0.145 0.569
O: 0.965 0.855 0.069


# 6
Density functional theory data (meta-GGA SCAN) for a PBEsol-optimized structure of LiV2S3O12.

Space-group type   No. 167
Density of states at the Fermi level   8.9 states/eV/f.u.
E_tot   -352.2 eV/cell
ρ   2.98 g/cm3
Crystal system   trigonal
Total magnetization   0.278 μB/atom

Cell: 8.547 8.547 8.547 Å, 60.15 60.15 60.15°
Fractional positions:
Li: 0.000 0.000 0.000
Li: 0.500 0.500 0.500
V: 0.142 0.142 0.142
V: 0.358 0.358 0.358
V: 0.642 0.642 0.642
V: 0.858 0.858 0.858
S: 0.046 0.750 0.454
S: 0.250 0.546 0.954
S: 0.454 0.046 0.750
S: 0.546 0.954 0.250
S: 0.750 0.454 0.046
S: 0.954 0.250 0.546
O: 0.008 0.812 0.605
O: 0.062 0.908 0.266
O: 0.092 0.734 0.938
O: 0.105 0.312 0.508
O: 0.188 0.395 0.992
O: 0.234 0.592 0.438
O: 0.266 0.062 0.908
O: 0.312 0.508 0.105
O: 0.395 0.992 0.188
O: 0.408 0.562 0.766
O: 0.438 0.234 0.592
O: 0.492 0.895 0.688
O: 0.508 0.105 0.312
O: 0.562 0.766 0.408
O: 0.592 0.438 0.234
O: 0.605 0.008 0.812
O: 0.688 0.492 0.895
O: 0.734 0.938 0.092
O: 0.766 0.408 0.562
O: 0.812 0.605 0.008
O: 0.895 0.688 0.492
O: 0.908 0.266 0.062
O: 0.938 0.092 0.734
O: 0.992 0.188 0.395